1.
## TeRh2Cl (PBE)

Data for crystalline TeRh2Cl at its relaxed geometry.

The structure in extended XYZ format:
```
4
Lattice="3.304 0.000 0.000 0.000 3.360 0.000 0.000 0.000 6.930" Properties=species:S:1:pos:R:3 pbc="T T T"
Te 0.000 0.000 0.000
Rh 1.652 1.680 1.394
Rh 1.652 1.680 5.537
Cl 0.000 1.680 3.465
```

## Properties
Raw formation energy = 0.0010 eV/atom
Mass density = 7.961 g/cm3
Final energy = -0.18087 hartree per atom
Distance to the lowest polymorph of the same formula = 113 meV per atom
Crystal system = orthorhombic

=====

2.
## TeRh2Cl (PBE)

Data for crystalline TeRh2Cl at its relaxed geometry.

The structure in extended XYZ format:
```
4
Lattice="1.733 1.001 7.195 -1.733 1.001 7.195 0.000 -2.001 7.195" Properties=species:S:1:pos:R:3 pbc="T T T"
Te 0.000 0.000 0.000
Rh 0.000 0.000 5.522
Rh 0.000 0.000 16.063
Cl 0.000 0.000 10.792
```

## Properties
Raw formation energy = 0.0002 eV/atom
Mass density = 8.181 g/cm3
Final energy = -0.18090 hartree per atom
Distance to the lowest polymorph of the same formula = 113 meV per atom
Crystal system = trigonal

=====

3.
## Te2RhCl (PBE)

Data for crystalline Te2RhCl at its relaxed geometry.

The structure in extended XYZ format:
```
4
Lattice="1.975 1.140 7.494 -1.975 1.140 7.494 0.000 -2.280 7.494" Properties=species:S:1:pos:R:3 pbc="T T T"
Te 0.000 0.000 0.000
Te 0.000 0.000 4.773
Rh 0.000 0.000 13.630
Cl 0.000 0.000 17.565
```

## Properties
Raw formation energy = -0.3362 eV/atom
Mass density = 6.456 g/cm3
Final energy = -0.15459 hartree per atom
Crystal system = trigonal

=====

4.
## TeRh4Cl (PBE)

Data for crystalline TeRh4Cl at its relaxed geometry.

The structure in extended XYZ format:
```
6
Lattice="0.000 3.741 3.741 3.741 0.000 3.741 3.741 3.741 0.000" Properties=species:S:1:pos:R:3 pbc="T T T"
Te 0.000 0.000 0.000
Rh 4.680 2.802 2.802
Rh 2.802 4.680 2.802
Rh 2.802 2.802 4.680
Rh 4.680 4.680 4.680
Cl 1.870 1.870 1.870
```

## Properties
Raw formation energy = 0.5693 eV/atom
Mass density = 9.114 g/cm3
Final energy = -0.18974 hartree per atom
Crystal system = cubic

=====

5.
## Te2RhCl (PBE)

Data for crystalline Te2RhCl at its relaxed geometry.

The structure in extended XYZ format:
```
4
Lattice="3.642 -1.992 0.000 3.642 1.992 0.000 -0.536 0.000 7.579" Properties=species:S:1:pos:R:3 pbc="T T T"
Te 0.983 0.000 2.539
Te 5.764 0.000 5.041
Rh 3.374 0.000 3.790
Cl 0.000 0.000 0.000
```

## Properties
Raw formation energy = -0.3939 eV/atom
Mass density = 5.943 g/cm3
Final energy = -0.15671 hartree per atom
Crystal system = monoclinic

=====

6.
## Te2RhCl (PBE)

Data for crystalline Te2RhCl at its relaxed geometry.

The structure in extended XYZ format:
```
8
Lattice="-3.527 3.527 4.912 3.527 -3.527 4.912 3.527 3.527 -4.912" Properties=species:S:1:pos:R:3 pbc="T T T"
Te 5.291 1.304 -1.228
Te 1.304 1.764 1.228
Te -1.764 2.224 3.684
Te 2.224 1.764 6.139
Rh 0.000 0.000 0.000
Rh 0.000 3.527 2.456
Cl 3.527 0.000 2.456
Cl 0.000 0.000 4.912
```

## Properties
Raw formation energy = -0.0747 eV/atom
Mass density = 5.347 g/cm3
Final energy = -0.14498 hartree per atom
Crystal system = tetragonal

=====

7.
## TeRh2WCl (PBE)

Data for crystalline TeRh2WCl at its relaxed geometry.

The structure in extended XYZ format:
```
5
Lattice="4.817 0.000 0.000 0.000 4.817 0.000 0.000 0.000 5.198" Properties=species:S:1:pos:R:3 pbc="T T T"
Te 0.000 0.000 0.000
Rh 0.000 2.409 2.599
Rh 2.409 0.000 2.599
W 0.000 0.000 2.599
Cl 2.409 2.409 0.000
```

## Properties
Raw formation energy = 1.0560 eV/atom
Mass density = 7.608 g/cm3
Final energy = -0.20112 hartree per atom
Crystal system = tetragonal

=====

8.
## TeRhWCl2 (PBE)

Data for crystalline TeRhWCl2 at its relaxed geometry.

The structure in extended XYZ format:
```
5
Lattice="4.542 0.000 0.000 0.000 4.542 0.000 0.000 0.000 5.307" Properties=species:S:1:pos:R:3 pbc="T T T"
Te 0.000 0.000 0.000
Rh 2.271 2.271 0.000
W 2.271 2.271 2.653
Cl 0.000 2.271 2.653
Cl 2.271 0.000 2.653
```

## Properties
Raw formation energy = 0.4724 eV/atom
Mass density = 7.361 g/cm3
Final energy = -0.18211 hartree per atom
Crystal system = tetragonal

=====

> What is the formula in the sixth record?

Te2RhCl